(1)
# Li5Al2Ag5

A relaxed structure of Li5Al2Ag5 (PBE-GGA, Alexandria via LeMat-Bulk).

POSCAR file:
```
Li5Al2Ag5
1.0
4.655 -2.275 0.000
4.655 2.275 0.000
-0.497 0.000 9.106
Li Al Ag
5 2 5
Direct
0.000 0.000 0.000
0.325 0.325 0.498
0.495 0.495 0.744
0.505 0.505 0.256
0.675 0.675 0.502
0.165 0.165 0.754
0.835 0.835 0.246
0.000 0.000 0.500
0.167 0.167 0.249
0.343 0.343 0.000
0.657 0.657 0.000
0.833 0.833 0.751
```

Results
The density of states at the Fermi level is 3.78 states/eV/cell. Its spin magnetization is 0.000 μB per cell. The energy of formation is -183 meV/atom. Its space-group type is C2/m (12). The calculation puts the volume at 193 Å³/f.u.


(2)
# K2GaPS4

A relaxed structure of K2GaPS4 (PBE-GGA, Alexandria via LeMat-Bulk).

POSCAR file:
```
K2GaPS4
1.0
0.000 6.814 11.285
2.976 0.000 11.285
2.976 6.814 0.000
K Ga P S
4 2 2 8
Direct
0.055 0.055 0.695
0.305 0.305 0.945
0.695 0.695 0.055
0.945 0.945 0.305
0.125 0.125 0.125
0.875 0.875 0.875
0.375 0.375 0.375
0.625 0.625 0.625
0.037 0.320 0.408
0.265 0.592 0.680
0.320 0.037 0.735
0.408 0.735 0.037
0.592 0.265 0.963
0.680 0.963 0.265
0.735 0.408 0.320
0.963 0.680 0.592
```

Results
For the formation energy from raw total energies, the calculation gives -63.3 kJ per mole of atoms. Its spin magnetization is 0.000 μB per cell. Its space-group type is Fddd (70). The calculation puts the volume at 229 Å³/f.u.


(3)
# SrTaAgS4

A relaxed structure of SrTaAgS4 (PBE-GGA, Alexandria via LeMat-Bulk).

POSCAR file:
```
SrTaAgS4
1.0
6.135 0.000 0.000
0.000 8.174 0.000
-1.683 0.000 7.684
Sr Ta Ag S
2 2 2 8
Direct
0.195 0.250 0.095
0.805 0.750 0.905
0.232 0.750 0.296
0.768 0.250 0.704
0.272 0.250 0.653
0.728 0.750 0.347
0.007 0.029 0.746
0.007 0.471 0.746
0.396 0.750 0.061
0.476 0.750 0.560
0.524 0.250 0.440
0.604 0.250 0.939
0.993 0.529 0.254
0.993 0.971 0.254
```

Results
The density of states at the Fermi level is 0.00 states/eV/cell. For the formation energy from raw total energies, the calculation gives -101.2 kJ per mole of atoms. Its spin magnetization is 0.000 μB per cell. Its space-group type is P2_1/m (11). The calculation puts the volume at 193 Å³/f.u.


(4)
# CaMgPb4

A relaxed structure of CaMgPb4 (PBE-GGA, Alexandria via LeMat-Bulk).

POSCAR file:
```
CaMgPb4
1.0
0.000 4.603 4.603
4.603 0.000 4.603
4.603 4.603 0.000
Ca Mg Pb
1 1 4
Direct
0.000 0.000 0.000
0.750 0.750 0.750
0.374 0.374 0.374
0.374 0.374 0.878
0.374 0.878 0.374
0.878 0.374 0.374
```

Results
The density of states at the Fermi level is 4.02 states/eV/cell. Its spin magnetization is 0.000 μB per cell. The energy of formation is -35 meV/atom. Its space-group type is F-43m (216). The calculation puts the volume at 195 Å³/f.u.